Entry 1:
{"formula": "SnSb4Pb5", "functional": "PBE-GGA", "state": "optimized geometry", "crystal_system": "monoclinic", "relative_energy_ev_per_atom": 0.000, "formation_energy_uncorrected_ev_per_atom": 0.0379, "lattice": [[9.936, -2.212, 0.000], [9.936, 2.212, 0.000], [-1.623, 0.000, 7.537]], "species": ["Sn", "Sb", "Sb", "Sb", "Sb", "Pb", "Pb", "Pb", "Pb", "Pb"], "frac_coords": [[0.000, 0.000, 0.000], [0.131, 0.131, 0.304], [0.436, 0.436, 0.201], [0.564, 0.564, 0.799], [0.869, 0.869, 0.696], [0.000, 0.000, 0.500], [0.305, 0.305, 0.905], [0.315, 0.315, 0.405], [0.685, 0.685, 0.595], [0.695, 0.695, 0.095]]}

=====

Entry 2:
{"formula": "TaCdPt4", "functional": "PBE-GGA", "state": "optimized geometry", "dft_energy_ev_per_atom": -6.34, "crystal_system": "cubic", "lattice": [[0.000, 3.729, 3.729], [3.729, 0.000, 3.729], [3.729, 3.729, 0.000]], "species": ["Ta", "Cd", "Pt", "Pt", "Pt", "Pt"], "frac_coords": [[0.000, 0.000, 0.000], [0.750, 0.750, 0.750], [0.375, 0.375, 0.375], [0.375, 0.375, 0.875], [0.375, 0.875, 0.375], [0.875, 0.375, 0.375]]}

=====

Entry 3:
{"formula": "K2ZnAgHg", "functional": "PBE-GGA", "state": "optimized geometry", "crystal_system": "tetragonal", "relative_energy_ev_per_atom": 0.000, "lattice": [[6.356, 0.000, 0.000], [0.000, 6.356, 0.000], [0.000, 0.000, 5.060]], "species": ["K", "K", "Zn", "Ag", "Hg"], "frac_coords": [[0.000, 0.500, 0.000], [0.500, 0.000, 0.000], [0.000, 0.000, 0.500], [0.000, 0.000, 0.000], [0.500, 0.500, 0.500]]}

=====

Entry 4:
{"formula": "MgMnCr2", "functional": "PBE-GGA", "state": "optimized geometry", "dft_energy_ev_per_atom": -7.03, "crystal_system": "trigonal", "lattice": [[1.318, 0.761, 8.687], [-1.318, 0.761, 8.687], [0.000, -1.522, 8.687]], "species": ["Mg", "Mn", "Cr", "Cr"], "frac_coords": [[0.000, 0.000, 0.000], [0.500, 0.500, 0.500], [0.241, 0.241, 0.241], [0.759, 0.759, 0.759]]}

=====

Entry 5:
{"formula": "BaSmEu", "functional": "PBE-GGA", "state": "optimized geometry", "crystal_system": "tetragonal", "relative_energy_ev_per_atom": 0.000, "lattice": [[-1.966, 1.966, 8.533], [1.966, -1.966, 8.533], [1.966, 1.966, -8.533]], "species": ["Ba", "Sm", "Eu"], "frac_coords": [[0.000, 0.000, 0.000], [0.669, 0.669, 0.000], [0.314, 0.314, 0.000]]}

=====

Entry 6:
{"formula": "CsNaTi", "functional": "PBE-GGA", "state": "optimized geometry", "crystal_system": "monoclinic", "relative_energy_ev_per_atom": 0.204, "lattice": [[2.978, -1.761, 0.000], [2.978, 1.761, 0.000], [-0.313, 0.000, 9.776]], "species": ["Cs", "Na", "Ti"], "frac_coords": [[0.000, 0.000, 0.000], [0.621, 0.621, 0.392], [0.977, 0.977, 0.666]]}

=====

Entry 7:
{"formula": "PrYErCd", "functional": "PBE-GGA", "state": "optimized geometry", "crystal_system": "tetragonal", "relative_energy_ev_per_atom": 0.000, "lattice": [[3.643, 0.000, 0.000], [0.000, 3.643, 0.000], [0.000, 0.000, 9.033]], "species": ["Pr", "Y", "Er", "Cd"], "frac_coords": [[0.000, 0.000, 0.000], [0.500, 0.500, 0.715], [0.500, 0.500, 0.279], [0.000, 0.000, 0.493]]}

=====

Entry 8:
{"formula": "ScBe", "functional": "PBE-GGA", "state": "optimized geometry", "dft_energy_ev_per_atom": -4.77, "crystal_system": "cubic", "lattice": [[5.110, 0.000, 0.000], [0.000, 5.110, 0.000], [0.000, 0.000, 5.110]], "species": ["Sc", "Sc", "Sc", "Sc", "Be", "Be", "Be", "Be"], "frac_coords": [[0.068, 0.068, 0.068], [0.432, 0.932, 0.568], [0.568, 0.432, 0.932], [0.932, 0.568, 0.432], [0.085, 0.585, 0.915], [0.415, 0.415, 0.415], [0.585, 0.915, 0.085], [0.915, 0.085, 0.585]]}

=====

Entry 9:
{"formula": "Ac3CeIr8", "functional": "PBE-GGA", "state": "optimized geometry", "dft_energy_ev_per_atom": -8.03, "crystal_system": "trigonal", "lattice": [[2.765, 1.596, 9.017], [-2.765, 1.596, 9.017], [0.000, -3.193, 9.017]], "species": ["Ac", "Ac", "Ac", "Ce", "Ir", "Ir", "Ir", "Ir", "Ir", "Ir", "Ir", "Ir"], "frac_coords": [[0.000, 0.000, 0.000], [0.126, 0.126, 0.126], [0.624, 0.624, 0.624], [0.499, 0.499, 0.499], [0.061, 0.061, 0.558], [0.061, 0.558, 0.061], [0.068, 0.563, 0.563], [0.312, 0.312, 0.312], [0.558, 0.061, 0.061], [0.563, 0.068, 0.563], [0.563, 0.563, 0.068], [0.813, 0.813, 0.813]]}

=====

Entry 10:
{"formula": "Dy3Zn2C", "functional": "PBE-GGA", "state": "optimized geometry", "dft_energy_ev_per_atom": -4.51, "crystal_system": "hexagonal", "lattice": [[6.898, 0.000, 0.000], [-3.449, 5.974, 0.000], [0.000, 0.000, 6.489]], "species": ["Dy", "Dy", "Dy", "Dy", "Dy", "Dy", "Zn", "Zn", "Zn", "Zn", "C", "C"], "frac_coords": [[0.155, 0.310, 0.250], [0.155, 0.845, 0.250], [0.310, 0.155, 0.750], [0.690, 0.845, 0.250], [0.845, 0.155, 0.750], [0.845, 0.690, 0.750], [0.333, 0.667, 0.571], [0.333, 0.667, 0.929], [0.667, 0.333, 0.071], [0.667, 0.333, 0.429], [0.000, 0.000, 0.000], [0.000, 0.000, 0.500]]}

=====

Entry 11:
{"formula": "NiTe2SeI", "functional": "PBE-GGA", "state": "optimized geometry", "crystal_system": "tetragonal", "relative_energy_ev_per_atom": 0.566, "formation_energy_uncorrected_ev_per_atom": 0.9854, "lattice": [[5.550, 0.000, 0.000], [0.000, 5.550, 0.000], [0.000, 0.000, 5.456]], "species": ["Ni", "Te", "Te", "Se", "I"], "frac_coords": [[0.000, 0.000, 0.000], [0.000, 0.500, 0.500], [0.500, 0.000, 0.500], [0.500, 0.500, 0.500], [0.500, 0.500, 0.000]]}

=====

Entry 12:
{"formula": "Co2Ir", "functional": "PBE-GGA", "state": "optimized geometry", "crystal_system": "cubic", "relative_energy_ev_per_atom": 0.923, "lattice": [[5.644, 0.000, 0.000], [0.000, 5.644, 0.000], [0.000, 0.000, 5.644]], "species": ["Co", "Co", "Co", "Co", "Co", "Co", "Co", "Co", "Ir", "Ir", "Ir", "Ir"], "frac_coords": [[0.111, 0.111, 0.111], [0.111, 0.389, 0.611], [0.389, 0.611, 0.111], [0.389, 0.889, 0.611], [0.611, 0.111, 0.389], [0.611, 0.389, 0.889], [0.889, 0.611, 0.389], [0.889, 0.889, 0.889], [0.000, 0.000, 0.500], [0.000, 0.500, 0.000], [0.500, 0.000, 0.000], [0.500, 0.500, 0.500]]}

=====

Entry 13:
{"formula": "CaZr4N6", "functional": "PBE-GGA", "state": "optimized geometry", "crystal_system": "orthorhombic", "formation_energy_uncorrected_ev_per_atom": -1.4927, "lattice": [[1.620, -5.395, 0.000], [1.620, 5.395, 0.000], [0.000, 0.000, 16.738]], "species": ["Ca", "Ca", "Zr", "Zr", "Zr", "Zr", "Zr", "Zr", "Zr", "Zr", "N", "N", "N", "N", "N", "N", "N", "N", "N", "N", "N", "N"], "frac_coords": [[0.154, 0.846, 0.750], [0.846, 0.154, 0.250], [0.103, 0.897, 0.141], [0.103, 0.897, 0.359], [0.368, 0.632, 0.049], [0.368, 0.632, 0.451], [0.632, 0.368, 0.549], [0.632, 0.368, 0.951], [0.897, 0.103, 0.641], [0.897, 0.103, 0.859], [0.000, 0.000, 0.000], [0.000, 0.000, 0.500], [0.187, 0.813, 0.250], [0.266, 0.734, 0.580], [0.266, 0.734, 0.920], [0.472, 0.528, 0.155], [0.472, 0.528, 0.345], [0.528, 0.472, 0.655], [0.528, 0.472, 0.845], [0.734, 0.266, 0.080], [0.734, 0.266, 0.420], [0.813, 0.187, 0.750]]}

=====

Entry 14:
{"formula": "Pr4Pt", "functional": "PBE-GGA", "state": "optimized geometry", "crystal_system": "tetragonal", "relative_energy_ev_per_atom": 0.000, "lattice": [[-4.572, 4.572, 4.051], [4.572, -4.572, 4.051], [4.572, 4.572, -4.051]], "species": ["Pr", "Pr", "Pr", "Pr", "Pr", "Pr", "Pr", "Pr", "Pt", "Pt"], "frac_coords": [[0.052, 0.391, 0.259], [0.132, 0.793, 0.741], [0.141, 0.302, 0.759], [0.207, 0.948, 0.339], [0.543, 0.382, 0.241], [0.609, 0.868, 0.661], [0.618, 0.859, 0.161], [0.698, 0.457, 0.839], [0.000, 0.000, 0.000], [0.750, 0.250, 0.500]]}

=====

Entry 15:
{"formula": "Pm2TmPuSe5", "functional": "PBE-GGA", "state": "optimized geometry", "crystal_system": "tetragonal", "formation_energy_uncorrected_ev_per_atom": -1.2179, "lattice": [[5.032, 0.000, 0.000], [0.000, 5.032, 0.000], [0.000, 0.000, 10.859]], "species": ["Pm", "Pm", "Tm", "Pu", "Se", "Se", "Se", "Se", "Se"], "frac_coords": [[0.000, 0.000, 0.212], [0.000, 0.000, 0.788], [0.500, 0.500, 0.000], [0.500, 0.500, 0.500], [0.000, 0.000, 0.500], [0.000, 0.500, 0.000], [0.500, 0.000, 0.000], [0.500, 0.500, 0.250], [0.500, 0.500, 0.750]]}

=====

Entry 16:
{"formula": "Pm14MgSc", "functional": "PBE-GGA", "state": "optimized geometry", "dft_energy_ev_per_atom": -4.64, "crystal_system": "orthorhombic", "lattice": [[10.212, 0.000, 0.000], [0.000, 5.079, 5.081], [0.000, -5.079, 5.081]], "species": ["Pm", "Pm", "Pm", "Pm", "Pm", "Pm", "Pm", "Pm", "Pm", "Pm", "Pm", "Pm", "Pm", "Pm", "Mg", "Sc"], "frac_coords": [[0.000, 0.000, 0.000], [0.000, 0.000, 0.499], [0.000, 0.499, 0.000], [0.000, 0.499, 0.499], [0.254, 0.752, 0.752], [0.255, 0.248, 0.751], [0.255, 0.751, 0.248], [0.256, 0.248, 0.248], [0.500, 0.500, 0.998], [0.500, 0.998, 0.500], [0.744, 0.248, 0.248], [0.745, 0.248, 0.751], [0.745, 0.751, 0.248], [0.746, 0.752, 0.752], [0.500, 0.499, 0.499], [0.500, 0.999, 0.999]]}

=====

Entry 17:
{"formula": "Ba2NaTlZn", "functional": "PBE-GGA", "state": "optimized geometry", "dft_energy_ev_per_atom": -1.81, "crystal_system": "tetragonal", "lattice": [[6.565, 0.000, 0.000], [0.000, 6.565, 0.000], [0.000, 0.000, 5.141]], "species": ["Ba", "Ba", "Na", "Tl", "Zn"], "frac_coords": [[0.000, 0.500, 0.000], [0.500, 0.000, 0.000], [0.000, 0.000, 0.500], [0.500, 0.500, 0.500], [0.500, 0.500, 0.000]]}

=====

Entry 18:
{"formula": "Hf12Tl3Cd", "functional": "PBE-GGA", "state": "optimized geometry", "dft_energy_ev_per_atom": -7.96, "crystal_system": "tetragonal", "lattice": [[4.436, 0.000, 0.000], [0.000, 4.436, 0.000], [0.000, 0.000, 17.738]], "species": ["Hf", "Hf", "Hf", "Hf", "Hf", "Hf", "Hf", "Hf", "Hf", "Hf", "Hf", "Hf", "Tl", "Tl", "Tl", "Cd"], "frac_coords": [[0.000, 0.000, 0.000], [0.000, 0.000, 0.249], [0.000, 0.000, 0.500], [0.000, 0.000, 0.751], [0.000, 0.500, 0.124], [0.000, 0.500, 0.375], [0.000, 0.500, 0.625], [0.000, 0.500, 0.876], [0.500, 0.000, 0.124], [0.500, 0.000, 0.375], [0.500, 0.000, 0.625], [0.500, 0.000, 0.876], [0.500, 0.500, 0.249], [0.500, 0.500, 0.500], [0.500, 0.500, 0.751], [0.500, 0.500, 0.000]]}

=====

Entry 19:
{"formula": "Ba2Zn5Cu", "functional": "PBE-GGA", "state": "optimized geometry", "dft_energy_ev_per_atom": -1.91, "crystal_system": "orthorhombic", "lattice": [[2.396, -8.515, 0.000], [2.396, 8.515, 0.000], [0.000, 0.000, 9.448]], "species": ["Ba", "Ba", "Ba", "Ba", "Zn", "Zn", "Zn", "Zn", "Zn", "Zn", "Zn", "Zn", "Zn", "Zn", "Cu", "Cu"], "frac_coords": [[0.000, 0.000, 0.000], [0.000, 0.000, 0.500], [0.201, 0.799, 0.750], [0.799, 0.201, 0.250], [0.187, 0.813, 0.112], [0.187, 0.813, 0.388], [0.347, 0.653, 0.013], [0.347, 0.653, 0.487], [0.409, 0.591, 0.750], [0.591, 0.409, 0.250], [0.653, 0.347, 0.513], [0.653, 0.347, 0.987], [0.813, 0.187, 0.612], [0.813, 0.187, 0.888], [0.437, 0.563, 0.250], [0.563, 0.437, 0.750]]}

=====

Entry 20:
{"formula": "CuGeSe2N", "functional": "PBE-GGA", "state": "optimized geometry", "crystal_system": "tetragonal", "relative_energy_ev_per_atom": 0.000, "formation_energy_uncorrected_ev_per_atom": 0.7611, "lattice": [[5.050, 0.000, 0.000], [0.000, 5.050, 0.000], [0.000, 0.000, 3.589]], "species": ["Cu", "Ge", "Se", "Se", "N"], "frac_coords": [[0.000, 0.000, 0.000], [0.500, 0.500, 0.500], [0.000, 0.500, 0.000], [0.500, 0.000, 0.000], [0.000, 0.000, 0.500]]}

=====

Entry 21:
{"formula": "K2VCdS4", "functional": "PBE-GGA", "state": "optimized geometry", "crystal_system": "orthorhombic", "formation_energy_uncorrected_ev_per_atom": -0.9122, "lattice": [[0.000, 6.644, 11.761], [2.983, 0.000, 11.761], [2.983, 6.644, 0.000]], "species": ["K", "K", "K", "K", "V", "V", "Cd", "Cd", "S", "S", "S", "S", "S", "S", "S", "S"], "frac_coords": [[0.057, 0.057, 0.693], [0.307, 0.307, 0.943], [0.693, 0.693, 0.057], [0.943, 0.943, 0.307], [0.375, 0.375, 0.375], [0.625, 0.625, 0.625], [0.125, 0.125, 0.125], [0.875, 0.875, 0.875], [0.008, 0.633, 0.541], [0.318, 0.541, 0.633], [0.367, 0.992, 0.682], [0.459, 0.682, 0.992], [0.541, 0.318, 0.008], [0.633, 0.008, 0.318], [0.682, 0.459, 0.367], [0.992, 0.367, 0.459]]}

=====

Entry 22:
{"formula": "Zn2CdRe", "functional": "PBE-GGA", "state": "optimized geometry", "dft_energy_ev_per_atom": -3.25, "crystal_system": "tetragonal", "lattice": [[-1.983, 1.983, 9.163], [1.983, -1.983, 9.163], [1.983, 1.983, -9.163]], "species": ["Zn", "Zn", "Zn", "Zn", "Cd", "Cd", "Re", "Re"], "frac_coords": [[0.078, 0.625, 0.953], [0.375, 0.328, 0.453], [0.672, 0.125, 0.047], [0.875, 0.922, 0.547], [0.250, 0.750, 0.500], [0.500, 0.500, 0.000], [0.000, 0.000, 0.000], [0.750, 0.250, 0.500]]}

=====

Entry 23:
{"formula": "AlZnGa", "functional": "PBE-GGA", "state": "optimized geometry", "dft_energy_ev_per_atom": -2.64, "crystal_system": "triclinic", "lattice": [[2.992, 0.000, 0.000], [0.001, 5.575, 0.000], [1.463, 2.675, 6.137]], "species": ["Al", "Al", "Zn", "Zn", "Ga", "Ga"], "frac_coords": [[0.000, 0.000, 0.000], [0.000, 0.500, 0.000], [0.342, 0.094, 0.320], [0.658, 0.906, 0.680], [0.343, 0.597, 0.316], [0.657, 0.403, 0.684]]}